No. 1
An optimized crystal structure of ZnHg2Cl, computed with PBE.

## Properties
Its space-group type is Pm (6). Its uncorrected formation energy is -0.2555 eV per atom. For the energy above the most stable polymorph in this dataset, the calculation gives 0 meV per atom. The value obtained for the calculated density is 7847 kg/m3.

Cell lengths 3.6059, 3.4737, 8.4819 Å; angles 90.00, 90.67, 90.00 degrees
Atoms (fractional coordinates):
1 Zn 0.0000 0.0000 0.0000
2 Hg 0.5047 0.5000 0.1634
3 Hg 0.5070 0.0000 0.4757
4 Cl 0.9943 0.5000 0.8027

---

No. 2
An optimized crystal structure of ZnHg2Cl, computed with PBE.

## Properties
Its space-group type is Cm (8). Its uncorrected formation energy is -0.2474 eV per atom. For the energy above the most stable polymorph in this dataset, the calculation gives 8 meV per atom. The value obtained for the calculated density is 6708 kg/m3.

Cell lengths 6.1311, 6.1311, 8.1425 Å; angles 130.03, 130.03, 33.21 degrees
Atoms (fractional coordinates):
1 Zn 0.0000 0.0000 0.0000
2 Hg 0.4703 0.4703 0.6966
3 Hg 0.7541 0.7541 0.2766
4 Cl 0.3551 0.3551 0.0033

---

No. 3
An optimized crystal structure of ZnHgCl2, computed with PBE.

## Properties
Its space-group type is C2/m (12). Its uncorrected formation energy is -0.1881 eV per atom. For the energy above the most stable polymorph in this dataset, the calculation gives 618 meV per atom. The value obtained for the calculated density is 5115 kg/m3.

Cell lengths 5.5459, 5.5459, 4.0918 Å; angles 110.59, 110.59, 89.37 degrees
Atoms (fractional coordinates):
1 Zn 0.0000 0.0000 0.0000
2 Hg 0.5000 0.5000 0.0000
3 Cl 0.0000 0.5000 0.0000
4 Cl 0.5000 0.0000 0.0000

---

No. 4
An optimized crystal structure of Zn2HgCl, computed with PBE.

## Properties
Its space-group type is C2/m (12). Its uncorrected formation energy is -0.1663 eV per atom. For the energy above the most stable polymorph in this dataset, the calculation gives 52 meV per atom. The value obtained for the calculated density is 6268 kg/m3.

Cell lengths 5.0900, 5.0900, 7.3998 Å; angles 126.86, 126.86, 41.35 degrees
Atoms (fractional coordinates):
1 Zn 0.1327 0.1327 0.3453
2 Zn 0.8673 0.8673 0.6547
3 Hg 0.5000 0.5000 0.5000
4 Cl 0.5000 0.5000 0.0000

---

No. 5
An optimized crystal structure of Zn2HgCl, computed with PBE.

## Properties
Its space-group type is Pmmm (47). Its uncorrected formation energy is 0.0041 eV per atom. For the energy above the most stable polymorph in this dataset, the calculation gives 222 meV per atom. The value obtained for the calculated density is 6778 kg/m3.

Cell lengths 3.4727, 4.3757, 5.9145 Å; angles 90.00, 90.00, 90.00 degrees
Atoms (fractional coordinates):
1 Zn 0.0000 0.0000 0.0000
2 Zn 0.5000 0.0000 0.5000
3 Hg 0.0000 0.5000 0.5000
4 Cl 0.5000 0.5000 0.0000

---

No. 6
An optimized crystal structure of ZnHg2Cl, computed with PBE.

## Properties
Its space-group type is P4/mmm (123). Its uncorrected formation energy is -0.0776 eV per atom. For the energy above the most stable polymorph in this dataset, the calculation gives 178 meV per atom. The value obtained for the calculated density is 9240 kg/m3.

Cell lengths 3.4121, 3.4121, 7.7497 Å; angles 90.00, 90.00, 90.00 degrees
Atoms (fractional coordinates):
1 Zn 0.0000 0.0000 0.0000
2 Hg 0.5000 0.5000 0.2318
3 Hg 0.5000 0.5000 0.7682
4 Cl 0.0000 0.0000 0.5000

---

No. 7
An optimized crystal structure of ZnHg2Cl, computed with PBE.

## Properties
Its space-group type is P4/mmm (123). Its uncorrected formation energy is 0.0139 eV per atom. For the energy above the most stable polymorph in this dataset, the calculation gives 269 meV per atom. The value obtained for the calculated density is 8707 kg/m3.

Cell lengths 5.0801, 5.0801, 3.7099 Å; angles 90.00, 90.00, 90.00 degrees
Atoms (fractional coordinates):
1 Zn 0.0000 0.0000 0.0000
2 Hg 0.0000 0.5000 0.5000
3 Hg 0.5000 0.0000 0.5000
4 Cl 0.5000 0.5000 0.0000

---

No. 8
An optimized crystal structure of ZnHg2Cl, computed with PBE.

## Properties
Its space-group type is P2/m (10). Its uncorrected formation energy is -0.0884 eV per atom. For the energy above the most stable polymorph in this dataset, the calculation gives 167 meV per atom. The value obtained for the calculated density is 7998 kg/m3.

Cell lengths 4.1400, 4.1351, 6.0934 Å; angles 90.00, 92.30, 90.00 degrees
Atoms (fractional coordinates):
1 Zn 0.0000 0.0000 0.0000
2 Hg 0.0000 0.0000 0.5000
3 Hg 0.5000 0.5000 0.5000
4 Cl 0.5000 0.5000 0.0000

---

No. 9
An optimized crystal structure of ZnHgCl2, computed with PBE.

## Properties
Its space-group type is Cmm2 (35). Its uncorrected formation energy is -0.4566 eV per atom. For the energy above the most stable polymorph in this dataset, the calculation gives 349 meV per atom. The value obtained for the calculated density is 4819 kg/m3.

Cell lengths 4.0552, 4.0552, 8.9451 Å; angles 90.00, 90.00, 127.89 degrees
Atoms (fractional coordinates):
1 Zn 0.0000 0.0000 0.0000
2 Hg 0.5000 0.5000 0.2315
3 Cl 0.0000 0.0000 0.4439
4 Cl 0.5000 0.5000 0.8283

---

No. 10
An optimized crystal structure of Zn2HgCl, computed with PBE.

## Properties
Its space-group type is P4/mmm (123). Its uncorrected formation energy is -0.0259 eV per atom. For the energy above the most stable polymorph in this dataset, the calculation gives 192 meV per atom. The value obtained for the calculated density is 7495 kg/m3.

Cell lengths 3.2957, 3.2957, 7.4832 Å; angles 90.00, 90.00, 90.00 degrees
Atoms (fractional coordinates):
1 Zn 0.0000 0.0000 0.2490
2 Zn 0.0000 0.0000 0.7510
3 Hg 0.5000 0.5000 0.0000
4 Cl 0.5000 0.5000 0.5000

---

No. 11
An optimized crystal structure of ZnHgCl2, computed with PBE.

## Properties
Its space-group type is R3m (160). Its uncorrected formation energy is -0.5578 eV per atom. For the energy above the most stable polymorph in this dataset, the calculation gives 248 meV per atom. The value obtained for the calculated density is 5767 kg/m3.

Cell lengths 8.6324, 8.6324, 8.6324 Å; angles 24.47, 24.47, 24.47 degrees
Atoms (fractional coordinates):
1 Zn 0.0000 0.0000 0.0000
2 Hg 0.7420 0.7420 0.7420
3 Cl 0.2806 0.2806 0.2806
4 Cl 0.4784 0.4784 0.4784

---

No. 12
An optimized crystal structure of ZnHg2Cl, computed with PBE.

## Properties
Its space-group type is Cmmm (65). Its uncorrected formation energy is -0.0646 eV per atom. For the energy above the most stable polymorph in this dataset, the calculation gives 191 meV per atom. The value obtained for the calculated density is 7995 kg/m3.

Cell lengths 5.1758, 5.1758, 4.3189 Å; angles 90.00, 90.00, 115.67 degrees
Atoms (fractional coordinates):
1 Zn 0.0000 0.0000 0.0000
2 Hg 0.0000 0.5000 0.5000
3 Hg 0.5000 0.0000 0.5000
4 Cl 0.5000 0.5000 0.0000